The following is a DFT calculation (PBE-GGA) of crystalline Sr6Ca2Hg at its relaxed geometry.

The calculation puts the formation enthalpy at 0 K at 34 meV per atom. As for the volume: 47.62 Å³ per atom. As for the symmetry: No. 71. The size of the total moment comes out at 0.000 μB/atom. The value obtained for the distance to the lowest polymorph of the same formula is 105 kJ/mol of formula units. The calculation puts the theoretical density at 3.12 g cm⁻³.

a b c (Å): 8.703 8.703 8.703
angles (deg): 135.04 102.91 93.96
Fractional coordinates of all 9 atoms:
Sr 0.145 0.340 0.805
Sr 0.171 0.000 0.171
Sr 0.465 0.660 0.805
Sr 0.535 0.340 0.195
Sr 0.829 0.000 0.829
Sr 0.855 0.660 0.195
Ca 0.327 0.827 0.500
Ca 0.673 0.173 0.500
Hg 0.000 0.500 0.500

***

The following is a DFT calculation (PBE-GGA) of crystalline PuHfIn at its relaxed geometry.

The calculation puts the formation enthalpy at 0 K at 89 meV per atom. As for the volume: 24.34 Å³ per atom. As for the symmetry: No. 156. The size of the total moment comes out at 1.868 μB/atom. The value obtained for the distance to the lowest polymorph of the same formula is 35 kJ/mol of formula units. The calculation puts the theoretical density at 12.22 g cm⁻³.

a b c (Å): 5.159 5.159 3.168
angles (deg): 90.00 90.00 120.00
Fractional coordinates of all 3 atoms:
Pu 0.000 0.000 0.000
Hf 0.667 0.333 0.499
In 0.333 0.667 0.502

***

The following is a DFT calculation (PBE-GGA) of crystalline SrTa2Te at its relaxed geometry.

As for the volume: 26.61 Å³ per atom. As for the symmetry: No. 6. The size of the total moment comes out at 0.000 μB/atom. The value obtained for the distance to the lowest polymorph of the same formula is 16 kJ/mol of formula units. The calculation puts the theoretical density at 9.00 g cm⁻³. Its raw formation energy is 0.1694 eV per atom.

a b c (Å): 3.571 4.313 6.912
angles (deg): 90.00 90.25 90.00
Fractional coordinates of all 4 atoms:
Sr 0.000 0.000 0.000
Ta 0.496 0.000 0.455
Ta 0.995 0.500 0.424
Te 0.498 0.500 0.742

***

The following is a DFT calculation (PBE-GGA) of crystalline TlInPd6 at its relaxed geometry.

The calculation puts the formation enthalpy at 0 K at -308 meV per atom. As for the volume: 16.75 Å³ per atom. As for the symmetry: No. 123. The size of the total moment comes out at 0.000 μB/atom. The value obtained for the distance to the lowest polymorph of the same formula is 0 kJ/mol of formula units. The calculation puts the theoretical density at 11.87 g cm⁻³.

a b c (Å): 4.060 4.060 8.131
angles (deg): 90.00 90.00 90.00
Fractional coordinates of all 8 atoms:
Tl 0.000 0.000 0.000
In 0.000 0.000 0.500
Pd 0.000 0.500 0.255
Pd 0.000 0.500 0.745
Pd 0.500 0.000 0.255
Pd 0.500 0.000 0.745
Pd 0.500 0.500 0.000
Pd 0.500 0.500 0.500

***

The following is a DFT calculation (PBE-GGA) of crystalline Cs3SnCl5 at its relaxed geometry.

As for the volume: 40.61 Å³ per atom. As for the symmetry: No. 140. The size of the total moment comes out at 0.000 μB/atom. The calculation puts the theoretical density at 3.16 g cm⁻³. Its raw formation energy is -1.6147 eV per atom.

a b c (Å): 10.657 10.657 10.657
angles (deg): 127.94 127.94 76.72
Fractional coordinates of all 18 atoms:
Cs 0.163 0.663 0.826
Cs 0.250 0.250 0.000
Cs 0.337 0.163 0.500
Cs 0.663 0.837 0.500
Cs 0.750 0.750 0.000
Cs 0.837 0.337 0.174
Sn 0.250 0.750 0.500
Sn 0.750 0.250 0.500
Cl 0.000 0.000 0.000
Cl 0.010 0.194 0.500
Cl 0.194 0.694 0.184
Cl 0.306 0.490 0.500
Cl 0.490 0.990 0.184
Cl 0.500 0.500 0.000
Cl 0.510 0.010 0.816
Cl 0.694 0.510 0.500
Cl 0.806 0.306 0.816
Cl 0.990 0.806 0.500

***

The following is a DFT calculation (PBE-GGA) of crystalline CrReW2 at its relaxed geometry.

The calculation puts the formation enthalpy at 0 K at 356 meV per atom. As for the volume: 15.11 Å³ per atom. As for the symmetry: No. 160. The size of the total moment comes out at 0.000 μB/atom. The value obtained for the distance to the lowest polymorph of the same formula is 127 kJ/mol of formula units. The calculation puts the theoretical density at 16.65 g cm⁻³.

a b c (Å): 9.222 9.222 9.222
angles (deg): 17.29 17.29 17.29
Fractional coordinates of all 4 atoms:
Cr 0.000 0.000 0.000
Re 0.741 0.741 0.741
W 0.251 0.251 0.251
W 0.494 0.494 0.494

***

The following is a DFT calculation (PBE-GGA) of crystalline YSi4Hg at its relaxed geometry.

As for the volume: 17.84 Å³ per atom. As for the symmetry: No. 216. The size of the total moment comes out at 0.000 μB/atom. The calculation puts the theoretical density at 6.23 g cm⁻³. Its raw formation energy is -0.0328 eV per atom.

a b c (Å): 5.329 5.329 5.329
angles (deg): 60.00 60.00 60.00
Fractional coordinates of all 6 atoms:
Y 0.000 0.000 0.000
Si 0.376 0.376 0.376
Si 0.376 0.376 0.871
Si 0.376 0.871 0.376
Si 0.871 0.376 0.376
Hg 0.750 0.750 0.750

***

The following is a DFT calculation (PBE-GGA) of crystalline SmPu2NpS4 at its relaxed geometry.

As for the volume: 21.83 Å³ per atom. As for the symmetry: No. 10. The size of the total moment comes out at 0.516 μB/atom. The calculation puts the theoretical density at 9.54 g cm⁻³. Its raw formation energy is -1.7272 eV per atom.

a b c (Å): 6.823 3.937 6.887
angles (deg): 90.00 109.30 90.00
Fractional coordinates of all 8 atoms:
Sm 0.000 0.000 0.000
Pu 0.500 0.000 0.500
Pu 0.500 0.500 0.000
Np 0.000 0.500 0.500
S 0.250 0.000 0.747
S 0.252 0.500 0.256
S 0.748 0.500 0.744
S 0.750 0.000 0.253

***

The following is a DFT calculation (PBE-GGA) of crystalline LaTlC3 at its relaxed geometry.

The calculation puts the formation enthalpy at 0 K at 2616 meV per atom. As for the volume: 21.05 Å³ per atom. As for the symmetry: No. 221. The size of the total moment comes out at 0.170 μB/atom. The value obtained for the distance to the lowest polymorph of the same formula is 183 kJ/mol of formula units. The calculation puts the theoretical density at 5.98 g cm⁻³.

a b c (Å): 4.722 4.722 4.722
angles (deg): 90.00 90.00 90.00
Fractional coordinates of all 5 atoms:
La 0.000 0.000 0.000
Tl 0.500 0.500 0.500
C 0.000 0.000 0.500
C 0.000 0.500 0.000
C 0.500 0.000 0.000

***

The following is a DFT calculation (PBE-GGA) of crystalline Al2CrSnPt at its relaxed geometry.

The calculation puts the formation enthalpy at 0 K at 406 meV per atom. As for the volume: 21.46 Å³ per atom. As for the symmetry: No. 123. The size of the total moment comes out at 0.051 μB/atom. The calculation puts the theoretical density at 6.50 g cm⁻³.

a b c (Å): 4.709 4.709 4.839
angles (deg): 90.00 90.00 90.00
Fractional coordinates of all 5 atoms:
Al 0.000 0.500 0.000
Al 0.500 0.000 0.000
Cr 0.000 0.000 0.500
Sn 0.500 0.500 0.500
Pt 0.000 0.000 0.000

***

The following is a DFT calculation (PBE-GGA) of crystalline Ga3POs at its relaxed geometry.

The calculation puts the formation enthalpy at 0 K at 524 meV per atom. As for the volume: 22.56 Å³ per atom. As for the symmetry: No. 221. The size of the total moment comes out at 0.420 μB/atom. The value obtained for the distance to the lowest polymorph of the same formula is 0 kJ/mol of formula units. The calculation puts the theoretical density at 6.34 g cm⁻³.

a b c (Å): 4.832 4.832 4.832
angles (deg): 90.00 90.00 90.00
Fractional coordinates of all 5 atoms:
Ga 0.000 0.000 0.500
Ga 0.000 0.500 0.000
Ga 0.500 0.000 0.000
P 0.500 0.500 0.500
Os 0.000 0.000 0.000

***

The following is a DFT calculation (PBE-GGA) of crystalline SeBr at its relaxed geometry.

As for the volume: 38.73 Å³ per atom. As for the symmetry: No. 176. The size of the total moment comes out at 0.000 μB/atom. The calculation puts the theoretical density at 3.41 g cm⁻³. Its raw formation energy is 0.2733 eV per atom.

a b c (Å): 12.895 12.895 3.227
angles (deg): 90.00 90.00 120.00
Fractional coordinates of all 12 atoms:
Se 0.114 0.405 0.250
Se 0.291 0.886 0.250
Se 0.405 0.291 0.750
Se 0.595 0.709 0.250
Se 0.709 0.114 0.750
Se 0.886 0.595 0.750
Br 0.163 0.681 0.250
Br 0.319 0.483 0.250
Br 0.483 0.163 0.750
Br 0.517 0.837 0.250
Br 0.681 0.517 0.750
Br 0.837 0.319 0.750

***

The following is a DFT calculation (PBE-GGA) of crystalline PbAuBr2 at its relaxed geometry.

As for the volume: 31.42 Å³ per atom. As for the symmetry: No. 160. The size of the total moment comes out at 0.000 μB/atom. The value obtained for the distance to the lowest polymorph of the same formula is 0 kJ/mol of formula units. The calculation puts the theoretical density at 7.45 g cm⁻³. Its raw formation energy is -0.3503 eV per atom.

a b c (Å): 8.502 8.502 8.502
angles (deg): 28.75 28.75 28.75
Fractional coordinates of all 4 atoms:
Pb 0.000 0.000 0.000
Au 0.267 0.267 0.267
Br 0.545 0.545 0.545
Br 0.745 0.745 0.745

***

The following is a DFT calculation (PBE-GGA) of crystalline Na4InHg2 at its relaxed geometry.

The calculation puts the formation enthalpy at 0 K at -177 meV per atom. As for the volume: 28.62 Å³ per atom. As for the symmetry: No. 65. The size of the total moment comes out at 0.000 μB/atom. The value obtained for the distance to the lowest polymorph of the same formula is 0 kJ/mol of formula units. The calculation puts the theoretical density at 5.04 g cm⁻³.

a b c (Å): 6.518 6.518 4.779
angles (deg): 90.00 90.00 99.32
Fractional coordinates of all 7 atoms:
Na 0.000 0.500 0.500
Na 0.199 0.199 0.000
Na 0.500 0.000 0.500
Na 0.801 0.801 0.000
In 0.500 0.500 0.500
Hg 0.292 0.708 0.000
Hg 0.708 0.292 0.000

***

The following is a DFT calculation (PBE-GGA) of crystalline VFe2HRh at its relaxed geometry.

As for the volume: 9.98 Å³ per atom. As for the symmetry: No. 123. The size of the total moment comes out at 0.000 μB/atom. The value obtained for the distance to the lowest polymorph of the same formula is 14 kJ/mol of formula units. The calculation puts the theoretical density at 8.87 g cm⁻³.

a b c (Å): 3.660 3.660 3.724
angles (deg): 90.00 90.00 90.00
Fractional coordinates of all 5 atoms:
V 0.000 0.000 0.000
Fe 0.000 0.500 0.500
Fe 0.500 0.000 0.500
H 0.500 0.500 0.500
Rh 0.500 0.500 0.000

***

The following is a DFT calculation (PBE-GGA) of crystalline KZnIn2Rh at its relaxed geometry.

The calculation puts the formation enthalpy at 0 K at -216 meV per atom. As for the volume: 26.92 Å³ per atom. As for the symmetry: No. 123. The size of the total moment comes out at 0.000 μB/atom. The calculation puts the theoretical density at 5.39 g cm⁻³.

a b c (Å): 5.168 5.168 5.040
angles (deg): 90.00 90.00 90.00
Fractional coordinates of all 5 atoms:
K 0.000 0.000 0.000
Zn 0.500 0.500 0.000
In 0.000 0.500 0.500
In 0.500 0.000 0.500
Rh 0.500 0.500 0.500

***

The following is a DFT calculation (PBE-GGA) of crystalline Nd2AgHPd6 at its relaxed geometry.

As for the volume: 18.05 Å³ per atom. As for the symmetry: No. 12. The size of the total moment comes out at 0.000 μB/atom. The final energy is -5.21 eV/atom. The calculation puts the theoretical density at 9.53 g cm⁻³.

a b c (Å): 5.650 5.650 7.126
angles (deg): 112.22 112.22 62.18
Fractional coordinates of all 10 atoms:
Nd 0.248 0.248 0.185
Nd 0.752 0.752 0.815
Ag 0.500 0.500 0.000
H 0.000 0.000 0.500
Pd 0.192 0.679 0.645
Pd 0.206 0.206 0.719
Pd 0.321 0.808 0.355
Pd 0.679 0.192 0.645
Pd 0.794 0.794 0.281
Pd 0.808 0.321 0.355

***

The following is a DFT calculation (PBE-GGA) of crystalline In4HgSe2 at its relaxed geometry.

As for the volume: 27.67 Å³ per atom. As for the symmetry: No. 166. The size of the total moment comes out at 0.000 μB/atom. The value obtained for the distance to the lowest polymorph of the same formula is 0 kJ/mol of formula units. The calculation puts the theoretical density at 7.01 g cm⁻³. Its raw formation energy is -0.2744 eV per atom.

a b c (Å): 13.598 13.598 13.598
angles (deg): 17.29 17.29 17.29
Fractional coordinates of all 7 atoms:
In 0.139 0.139 0.139
In 0.283 0.283 0.283
In 0.717 0.717 0.717
In 0.861 0.861 0.861
Hg 0.000 0.000 0.000
Se 0.431 0.431 0.431
Se 0.569 0.569 0.569

***

The following is a DFT calculation (PBE-GGA) of crystalline Sc6SiRu5 at its relaxed geometry.

As for the volume: 16.66 Å³ per atom. As for the symmetry: No. 10. The size of the total moment comes out at 0.000 μB/atom. The calculation puts the theoretical density at 6.67 g cm⁻³. Its raw formation energy is -0.6079 eV per atom.

a b c (Å): 4.519 6.513 7.156
angles (deg): 90.00 108.34 90.00
Fractional coordinates of all 12 atoms:
Sc 0.000 0.240 0.000
Sc 0.000 0.760 0.000
Sc 0.330 0.246 0.660
Sc 0.330 0.754 0.660
Sc 0.670 0.246 0.340
Sc 0.670 0.754 0.340
Si 0.500 0.500 0.000
Ru 0.163 0.500 0.326
Ru 0.166 0.000 0.332
Ru 0.500 0.000 0.000
Ru 0.834 0.000 0.668
Ru 0.837 0.500 0.674

***

The following is a DFT calculation (PBE-GGA) of crystalline Zr6Co16Si7 at its relaxed geometry.

As for the volume: 12.82 Å³ per atom. As for the symmetry: No. 225. The size of the total moment comes out at 0.210 μB/atom. The calculation puts the theoretical density at 7.53 g cm⁻³. Its raw formation energy is -0.6665 eV per atom.

a b c (Å): 8.072 8.072 8.072
angles (deg): 60.00 60.00 60.00
Fractional coordinates of all 29 atoms:
Zr 0.207 0.207 0.793
Zr 0.207 0.793 0.207
Zr 0.207 0.793 0.793
Zr 0.793 0.207 0.207
Zr 0.793 0.207 0.793
Zr 0.793 0.793 0.207
Co 0.141 0.620 0.620
Co 0.172 0.172 0.172
Co 0.172 0.172 0.483
Co 0.172 0.483 0.172
Co 0.380 0.380 0.380
Co 0.380 0.380 0.859
Co 0.380 0.859 0.380
Co 0.483 0.172 0.172
Co 0.517 0.828 0.828
Co 0.620 0.141 0.620
Co 0.620 0.620 0.141
Co 0.620 0.620 0.620
Co 0.828 0.517 0.828
Co 0.828 0.828 0.517
Co 0.828 0.828 0.828
Co 0.859 0.380 0.380
Si 0.000 0.000 0.500
Si 0.000 0.500 0.000
Si 0.000 0.500 0.500
Si 0.500 0.000 0.000
Si 0.500 0.000 0.500
Si 0.500 0.500 0.000
Si 0.500 0.500 0.500